1.
A plane-wave DFT calculation with PBE with a Hubbard U was carried out for a relaxed FeSCl2O crystal.

```
data_FeSCl2O
_chemical_formula_sum 'Fe1 S1 Cl2 O1'
_cell_length_a 4.799
_cell_length_b 4.799
_cell_length_c 5.004
_cell_angle_alpha 90.00
_cell_angle_beta 90.00
_cell_angle_gamma 90.00
_symmetry_space_group_name_H-M 'P 1'
_symmetry_Int_Tables_number 1
loop_
_symmetry_equiv_pos_as_xyz
'x,y,z'
loop_
_atom_site_label
_atom_site_fract_x
_atom_site_fract_y
_atom_site_fract_z
Fe1 0.000 0.000 0.000
S1 0.000 0.000 0.500
Cl1 0.000 0.500 0.000
Cl2 0.500 0.000 0.000
O1 0.500 0.500 0.500
```

Properties
As for the crystal system: tetragonal. The total energy comes out at -3.16 eV per atom. For the volume, the calculation gives 23.0 Å³ per atom.

=====

2.
A plane-wave DFT calculation with PBE with a Hubbard U was carried out for a relaxed NiCN2O crystal.

```
data_NiCN2O
_chemical_formula_sum 'Ni1 C1 N2 O1'
_cell_length_a 3.687
_cell_length_b 3.687
_cell_length_c 3.525
_cell_angle_alpha 90.00
_cell_angle_beta 90.00
_cell_angle_gamma 90.00
_symmetry_space_group_name_H-M 'P 1'
_symmetry_Int_Tables_number 1
loop_
_symmetry_equiv_pos_as_xyz
'x,y,z'
loop_
_atom_site_label
_atom_site_fract_x
_atom_site_fract_y
_atom_site_fract_z
Ni1 0.000 0.000 0.000
C1 0.500 0.500 0.000
N1 0.000 0.500 0.500
N2 0.500 0.000 0.500
O1 0.000 0.000 0.500
```

Properties
As for the crystal system: tetragonal. The total energy comes out at -3.61 eV per atom. For the volume, the calculation gives 9.6 Å³ per atom.

=====

The calculation returns the following D(E_F) values, one per record and in order: 5.885; 3.007 states/eV/cell.